# Mg16Al13

Mg16Al13 after structural relaxation (GGA-PBEsol, Alexandria).

Results
ΔE_f   -0.01 eV/atom
Crystal system   trigonal
SG   No. 160
V   569 Å³ per cell
DOS(E_F)   10.03 states/eV/cell

POSCAR file:
```
Mg16Al13
1.0
-4.019 8.249 -0.529
-1.774 -3.767 7.968
3.109 5.347 6.525
Al Mg
13 16
Cartesian
-1.273 2.613 -0.168
-0.501 1.802 2.574
-2.112 8.719 2.008
-4.385 4.362 4.559
-1.987 6.285 0.889
-4.012 2.221 6.130
0.409 6.012 8.072
0.526 3.495 6.964
-1.138 10.462 6.358
0.161 5.719 5.385
-4.559 6.854 5.713
-4.315 7.143 8.367
0.342 2.800 11.726
-1.037 3.806 9.434
-2.244 6.279 3.946
-2.684 4.806 7.117
-0.212 8.637 4.249
-4.012 8.235 -0.528
-0.038 4.737 2.424
-1.707 6.914 9.767
-1.463 3.301 4.809
-1.700 7.617 6.720
-0.632 -1.299 2.790
2.010 3.495 4.238
-2.343 0.343 4.636
1.051 1.395 9.210
-2.919 3.766 2.081
0.679 0.954 5.163
-1.484 1.391 7.379
```

=====

# As2RuBr

As2RuBr after structural relaxation (GGA-PBEsol, Alexandria).

Results
Uncorrected formation energy   0.472 eV/atom
Crystal system   orthorhombic
SG   No. 35
V   73 Å³ per cell
DOS(E_F)   3.53 states/eV/cell

POSCAR file:
```
As2RuBr
1.0
-1.716 1.059 2.249
2.166 -2.018 0.600
5.989 6.830 1.355
Br As Ru
1 2 1
Cartesian
2.783 3.174 0.630
4.826 4.768 2.466
0.191 0.218 0.043
1.633 1.126 1.743
```

=====

# SnS

SnS after structural relaxation (GGA-PBEsol, Alexandria).

Results
Uncorrected formation energy   -0.433 eV/atom
Crystal system   cubic
SG   No. 225
V   47 Å³ per cell
DOS(E_F)   0.08 states/eV/cell

POSCAR file:
```
SnS
1.0
4.054 0.000 0.000
2.027 3.511 0.000
2.027 1.170 3.310
Sn S
1 1
Cartesian
0.000 0.000 0.000
4.054 2.341 1.655
```

=====

# LiYSiF2

LiYSiF2 after structural relaxation (GGA-PBEsol, Alexandria).

Results
Uncorrected formation energy   -1.222 eV/atom
Crystal system   tetragonal
SG   No. 123
V   83 Å³ per cell
DOS(E_F)   3.26 states/eV/cell

POSCAR file:
```
LiYSiF2
1.0
-0.368 -3.890 0.152
3.721 -0.396 -1.135
1.595 0.052 5.212
Li F Y Si
1 2 1 1
Cartesian
0.000 0.000 0.000
1.861 -0.198 -0.567
-0.184 -1.945 0.076
0.797 0.026 2.606
2.474 -2.117 2.114
```

=====

# TcAsI3

TcAsI3 after structural relaxation (GGA-PBEsol, Alexandria).

Results
Uncorrected formation energy   1.118 eV/atom
Crystal system   cubic
SG   No. 221
V   174 Å³ per cell
DOS(E_F)   5.77 states/eV/cell

POSCAR file:
```
TcAsI3
1.0
-0.436 3.217 4.544
-5.551 -0.601 -0.107
0.427 -4.525 3.244
I Tc As
3 1 1
Cartesian
0.214 -2.262 1.622
-0.218 1.608 2.272
-2.775 -0.300 -0.053
-2.779 -0.954 3.841
0.000 0.000 0.000
```

=====

# ZnSb2Pt

ZnSb2Pt after structural relaxation (GGA-PBEsol, Alexandria).

Results
Uncorrected formation energy   0.088 eV/atom
Crystal system   tetragonal
SG   No. 123
V   79 Å³ per cell
DOS(E_F)   1.83 states/eV/cell

POSCAR file:
```
ZnSb2Pt
1.0
-3.211 -1.203 -1.663
0.980 -4.278 1.200
-2.245 0.583 3.914
Zn Sb Pt
1 2 1
Cartesian
-2.238 -2.448 1.725
0.490 -2.139 0.600
-1.123 0.292 1.957
-1.606 -0.601 -0.832
```

=====

# Mg8Zn

Mg8Zn after structural relaxation (GGA-PBEsol, Alexandria).

Results
ΔE_f   0.01 eV/atom
Crystal system   tetragonal
SG   No. 139
V   192 Å³ per cell
DOS(E_F)   3.63 states/eV/cell

POSCAR file:
```
Mg8Zn
1.0
-1.023 -1.709 -3.953
5.703 -2.909 -2.697
-2.068 -6.571 0.898
Mg Zn
8 1
Cartesian
0.476 -5.372 -0.279
3.159 -4.108 -1.520
0.502 -4.253 -3.248
-2.077 -5.577 -2.008
1.498 -1.519 -2.210
2.110 -6.936 -2.504
-1.015 -2.703 -1.047
3.182 -3.099 -4.440
0.000 0.000 0.000
```

=====

# La4Au2O9

La4Au2O9 after structural relaxation (GGA-PBEsol, Alexandria).

Results
Uncorrected formation energy   -2.450 eV/atom
Crystal system   orthorhombic
SG   No. 60
V   908 Å³ per cell
DOS(E_F)   0.00 states/eV/cell

POSCAR file:
```
La4Au2O9
1.0
-5.122 -3.636 -0.276
2.171 -3.905 11.165
-6.620 8.990 4.431
O La Au
36 16 8
Cartesian
-5.722 1.229 2.657
-8.008 6.110 4.385
-1.563 -4.661 10.935
-4.487 4.505 6.893
-6.351 3.789 4.443
-3.165 3.187 8.898
-5.148 -3.341 4.426
-4.143 -1.080 2.459
-3.849 0.220 12.663
-6.059 1.374 7.020
0.480 -2.069 10.253
-2.266 1.667 3.055
-5.084 -3.056 8.427
-2.137 -2.878 2.647
-0.900 -0.023 1.282
-3.726 0.024 5.326
-0.761 -0.454 12.250
-5.759 6.262 8.671
-2.886 3.434 5.000
-7.733 3.616 7.213
-3.512 0.076 8.300
-3.812 -4.813 6.649
-2.086 -2.309 5.383
-10.051 3.518 5.067
-7.486 3.758 9.938
-6.686 -1.985 10.320
-8.810 1.903 3.070
-8.671 1.472 14.039
-1.839 -2.167 8.107
-4.424 4.790 10.895
-6.406 -1.738 6.422
-3.221 -2.340 10.878
-5.846 1.425 9.994
-7.305 -0.218 12.266
-5.428 2.529 12.862
-0.815 -4.662 8.243
-5.884 4.398 14.481
-5.784 -0.882 4.231
-5.284 -1.713 12.227
-7.545 2.138 11.752
-2.979 -4.088 9.041
-4.287 3.162 3.093
-2.026 -0.689 3.568
-7.957 2.095 5.341
-3.687 -2.949 0.839
-6.592 5.537 6.279
-9.460 4.582 8.764
-1.615 -0.645 9.980
-5.834 -0.658 8.534
-3.737 2.108 6.786
-0.112 -3.133 6.556
-3.787 2.331 11.089
-4.735 0.292 1.157
-7.676 -0.284 14.212
-5.128 -3.285 6.459
-6.726 2.538 8.537
-4.837 1.157 14.163
-2.845 -1.089 6.783
-4.443 4.734 8.861
-1.896 1.733 1.109
```

=====

# ZnCoF5

ZnCoF5 after structural relaxation (GGA-PBEsol, Alexandria).

Results
Uncorrected formation energy   -1.917 eV/atom
Crystal system   monoclinic
SG   No. 9
V   170 Å³ per cell
DOS(E_F)   7.66 states/eV/cell

POSCAR file:
```
ZnCoF5
1.0
-1.326 0.699 4.992
-2.649 -4.104 -1.817
6.719 -2.858 -0.555
F Co Zn
10 2 2
Cartesian
-0.744 -0.602 3.827
1.021 -4.202 -0.939
2.943 -2.668 1.322
3.511 -5.673 -1.204
1.899 -5.309 1.118
0.863 -0.971 1.506
1.733 -2.080 3.566
5.260 -3.961 0.048
-2.495 -2.313 2.571
-0.184 -3.614 1.308
2.704 -1.088 2.223
0.011 -0.006 0.002
-0.498 -2.140 2.599
3.265 -4.140 0.032
```

=====

# Al7Ag

Al7Ag after structural relaxation (GGA-PBEsol, Alexandria).

Results
ΔE_f   0.01 eV/atom
Crystal system   tetragonal
SG   No. 139
V   130 Å³ per cell
DOS(E_F)   3.07 states/eV/cell

POSCAR file:
```
Al7Ag
1.0
4.062 0.000 0.000
0.000 4.062 0.000
-2.031 -2.031 7.890
Ag Al
1 7
Cartesian
0.000 0.000 0.000
2.031 2.031 3.917
2.031 0.000 5.910
0.000 0.000 3.973
0.000 2.031 1.981
2.031 0.000 1.981
2.031 2.031 0.000
0.000 2.031 5.910
```

=====

# CuRuC3

CuRuC3 after structural relaxation (GGA-PBEsol, Alexandria).

Results
ΔE_f   2.23 eV/atom
Crystal system   cubic
SG   No. 221
V   60 Å³ per cell
DOS(E_F)   2.92 states/eV/cell

POSCAR file:
```
CuRuC3
1.0
3.912 0.000 0.000
0.000 3.912 0.000
0.000 0.000 3.912
C Ru Cu
3 1 1
Cartesian
1.956 0.000 0.000
0.000 1.956 0.000
0.000 0.000 1.956
0.000 0.000 0.000
1.956 1.956 1.956
```

=====

# BeIn2Cu

BeIn2Cu after structural relaxation (GGA-PBEsol, Alexandria).

Results
ΔE_f   0.35 eV/atom
Crystal system   orthorhombic
SG   No. 47
V   66 Å³ per cell
DOS(E_F)   1.30 states/eV/cell

POSCAR file:
```
BeIn2Cu
1.0
2.893 0.000 0.000
0.000 3.785 0.000
0.000 0.000 6.031
In Be Cu
2 1 1
Cartesian
0.000 0.000 1.487
0.000 0.000 4.543
1.446 1.892 0.000
1.446 1.892 3.015
```

=====

| no. | VASP energy (Ry per atom) |
| --- | --- |
| 1 | -0.20493 |
| 2 | -0.37421 |
| 3 | -0.34948 |
| 4 | -0.36012 |
| 5 | -0.23643 |
| 6 | -0.31807 |
| 7 | -0.12442 |
| 8 | -0.55481 |
| 9 | -0.33991 |
| 10 | -0.29318 |
| 11 | -0.47477 |
| 12 | -0.23667 |